(1)
The following is a DFT calculation (SCAN) of La2InAg at its PBEsol-relaxed geometry.

It has space group I-4m2 (No. 119), with a = 4.594 Å, b = 4.594 Å, c = 9.983 Å, α = 90.00°, β = 90.00° and γ = 90.00°. Symmetry generates all atoms from La at (0.000, 0.000, 0.000), La at (0.000, 0.500, 0.250), In at (0.000, 0.500, 0.750) and Ag at (0.000, 0.000, 0.500).

The volume is 210.7 Å³ per cell. For the total magnetization, the calculation gives 0.00 μB/f.u. The calculation puts the density of states at the Fermi level at 0.613 states/eV per atom. Its energy relative to the elements is -384 meV per atom.

(2)
The following is a DFT calculation (SCAN) of LaZnIn2Ag at its PBEsol-relaxed geometry.

It has space group P4/mmm (No. 123), with a = 4.948 Å, b = 4.948 Å, c = 5.529 Å, α = 90.00°, β = 90.00° and γ = 90.00°. Symmetry generates all atoms from La at (0.000, 0.000, 0.000), Zn at (0.000, 0.000, 0.500), In at (0.000, 0.500, 0.500) and Ag at (0.500, 0.500, 0.000).

The volume is 135.4 Å³ per cell. For the total magnetization, the calculation gives 0.00 μB/f.u. The calculation puts the density of states at the Fermi level at 0.737 states/eV per atom. Its energy relative to the elements is 117 meV per atom.

(3)
The following is a DFT calculation (SCAN) of Li2InAg2 at its PBEsol-relaxed geometry.

It has space group P4/mbm (No. 127), with a = 7.382 Å, b = 7.382 Å, c = 3.121 Å, α = 90.00°, β = 90.00° and γ = 90.00°. Symmetry generates all atoms from Li at (0.163, 0.337, 0.000), In at (0.000, 0.000, 0.500) and Ag at (0.133, 0.633, 0.500).

The volume is 170.1 Å³ per cell. The value obtained for the relative energy among the computed polymorphs is 0.0 meV/atom. For the total magnetization, the calculation gives 0.00 μB/f.u. The calculation puts the density of states at the Fermi level at 0.331 states/eV per atom. Its energy relative to the elements is -207 meV per atom.

(4)
The following is a DFT calculation (SCAN) of Li2InAg at its PBEsol-relaxed geometry.

It has space group Pmmm (No. 47), with a = 3.091 Å, b = 3.432 Å, c = 6.258 Å, α = 90.00°, β = 90.00° and γ = 90.00°. Symmetry generates all atoms from Li at (0.000, 0.000, 0.229), In at (0.500, 0.500, 0.500) and Ag at (0.500, 0.500, 0.000).

The volume is 66.4 Å³ per cell. For the total magnetization, the calculation gives 0.00 μB/f.u. The calculation puts the density of states at the Fermi level at 0.269 states/eV per atom. Its energy relative to the elements is -289 meV per atom.